This record from Alexandria describes a relaxed structure of CaGe2Au8. The functional is GGA-PBE.

```
data_CaGe2Au8
_chemical_formula_sum 'Ca2 Ge4 Au16'
_cell_length_a 15.3117
_cell_length_b 4.1059
_cell_length_c 6.9332
_cell_angle_alpha 90.00
_cell_angle_beta 106.06
_cell_angle_gamma 90.00
_symmetry_space_group_name_H-M 'C 1 2/m 1'
_symmetry_Int_Tables_number 12
loop_
_symmetry_equiv_pos_as_xyz
'x,y,z'
'-x,-y,-z'
'-x,y,-z'
'x,-y,z'
'x+1/2,y+1/2,z'
'-x+1/2,-y+1/2,-z'
'-x+1/2,y+1/2,-z'
'x+1/2,-y+1/2,z'
loop_
_atom_site_label
_atom_site_fract_x
_atom_site_fract_y
_atom_site_fract_z
Ca1 0.0000 0.0000 0.0000
Ge1 0.2162 0.5000 0.6538
Au1 0.0411 0.5000 0.7195
Au2 0.0984 0.0000 0.4555
Au3 0.1434 0.5000 0.1941
Au4 0.1811 0.0000 0.9069
```

Values from the calculation:
The formation enthalpy at 0 K is -147 meV/atom. The energy above the lowest structure with this stoichiometry is 0.0 kJ per mole of atoms. The value obtained for the total magnetization is 0.00 μB/cell.